Entry 1:
# SnBAs

A geometry-optimized SnBAs structure (PBE-GGA, Alexandria).

Calculated density in g/cm3: 5.8
DFT formation energy in eV per atom: 0.178

Cell and atoms, written as CIF:
```
data_SnBAs
_chemical_formula_sum 'Sn4 B4 As4'
_cell_length_a 5.8343
_cell_length_b 3.3731
_cell_length_c 11.9882
_cell_angle_alpha 90.00
_cell_angle_beta 100.29
_cell_angle_gamma 90.00
_symmetry_space_group_name_H-M 'C 1 2/m 1'
_symmetry_Int_Tables_number 12
loop_
_symmetry_equiv_pos_as_xyz
'x,y,z'
'-x,-y,-z'
'-x,y,-z'
'x,-y,z'
'x+1/2,y+1/2,z'
'-x+1/2,-y+1/2,-z'
'-x+1/2,y+1/2,-z'
'x+1/2,-y+1/2,z'
loop_
_atom_site_label
_atom_site_fract_x
_atom_site_fract_y
_atom_site_fract_z
Sn1 0.0180 0.0000 0.1344
B1 0.1070 0.0000 0.3379
As1 0.0404 0.5000 0.6103
```

=====

Entry 2:
# SnBAs3

A geometry-optimized SnBAs3 structure (PBE-GGA, Alexandria).

Energy relative to the lowest polymorph listed for this composition in meV/atom: 0
Calculated density in g/cm3: 6.3
DFT formation energy in eV per atom: 0.644

Cell and atoms, written as CIF:
```
data_SnBAs3
_chemical_formula_sum 'Sn1 B1 As3'
_cell_length_a 4.5444
_cell_length_b 4.5444
_cell_length_c 4.5444
_cell_angle_alpha 90.00
_cell_angle_beta 90.00
_cell_angle_gamma 90.00
_symmetry_space_group_name_H-M 'P m -3 m'
_symmetry_Int_Tables_number 221
_symmetry_space_group_name_Hall '-P 4 2 3'
loop_
_atom_site_label
_atom_site_fract_x
_atom_site_fract_y
_atom_site_fract_z
Sn1 0.0000 0.0000 0.0000
B1 0.5000 0.5000 0.5000
As1 0.0000 0.5000 0.5000
```

=====

Entry 3:
# SnBAs3

A geometry-optimized SnBAs3 structure (PBE-GGA, Alexandria).

Energy relative to the lowest polymorph listed for this composition in meV/atom: 1146
Calculated density in g/cm3: 4.1
DFT formation energy in eV per atom: 1.790

Cell and atoms, written as CIF:
```
data_SnBAs3
_chemical_formula_sum 'Sn1 B1 As3'
_cell_length_a 5.2528
_cell_length_b 5.2528
_cell_length_c 5.2528
_cell_angle_alpha 90.00
_cell_angle_beta 90.00
_cell_angle_gamma 90.00
_symmetry_space_group_name_H-M 'P m -3 m'
_symmetry_Int_Tables_number 221
_symmetry_space_group_name_Hall '-P 4 2 3'
loop_
_atom_site_label
_atom_site_fract_x
_atom_site_fract_y
_atom_site_fract_z
Sn1 0.0000 0.0000 0.0000
B1 0.5000 0.5000 0.5000
As1 0.0000 0.0000 0.5000
```

=====

Entry 4:
# Sn3BAs

A geometry-optimized Sn3BAs structure (PBE-GGA, Alexandria).

Energy relative to the lowest polymorph listed for this composition in meV/atom: 856
Calculated density in g/cm3: 4.6
DFT formation energy in eV per atom: 1.399

Cell and atoms, written as CIF:
```
data_Sn3BAs
_chemical_formula_sum 'Sn3 B1 As1'
_cell_length_a 5.4239
_cell_length_b 5.4239
_cell_length_c 5.4239
_cell_angle_alpha 90.00
_cell_angle_beta 90.00
_cell_angle_gamma 90.00
_symmetry_space_group_name_H-M 'P m -3 m'
_symmetry_Int_Tables_number 221
_symmetry_space_group_name_Hall '-P 4 2 3'
loop_
_atom_site_label
_atom_site_fract_x
_atom_site_fract_y
_atom_site_fract_z
Sn1 0.0000 0.0000 0.5000
B1 0.5000 0.5000 0.5000
As1 0.0000 0.0000 0.0000
```

=====

The lowest DFT formation energy belongs to which entry?
SnBAs